1.
The following is a PBE calculation of a relaxed structure of TbMg2Pb2, from Alexandria via LeMat-Bulk.

Summary:
For the raw total energy, the calculation gives -3.027 eV per atom. Its crystal system is hexagonal. Its space group is P6_3/mmc, No. 194. The calculation puts the size of the total moment at 0.00 Bohr magnetons per cell.

Unit cell a=5.1124 b=5.1124 c=12.9409 alpha=90.00 beta=90.00 gamma=120.00
Atoms (fractional coordinates):
Pb (0.3333, 0.6667, 0.6209)
Pb (0.6667, 0.3333, 0.3791)
Pb (0.6667, 0.3333, 0.1209)
Pb (0.3333, 0.6667, 0.8791)
Tb (0.0000, 0.0000, 0.2500)
Tb (0.0000, 0.0000, 0.7500)
Mg (0.3333, 0.6667, 0.2500)
Mg (0.0000, 0.0000, 0.5000)
Mg (0.0000, 0.0000, 0.0000)
Mg (0.6667, 0.3333, 0.7500)



2.
The following is a PBE calculation of a relaxed structure of SmErZr2, from Alexandria via LeMat-Bulk.

Summary:
Its crystal system is tetragonal. The calculation puts the energy above the most stable polymorph in this dataset at 0.004 eV per atom. Its space group is P4/mmm, No. 123. The calculation puts the size of the total moment at 0.00 Bohr magnetons per cell.

Unit cell a=4.8073 b=4.7233 c=4.7233 alpha=90.00 beta=90.00 gamma=90.00
Atoms (fractional coordinates):
Er (0.5000, 0.5000, 0.5000)
Zr (0.0000, 0.0000, 0.5000)
Zr (0.0000, 0.5000, 0.0000)
Sm (0.5000, 0.0000, 0.0000)



- What is the size of the total moment in the first record?
  0.00 Bohr magnetons per cell